This record from the Open Quantum Materials Database describes a relaxed LuMgInCo crystal. The functional is PBE.

Properties
**Calculated volume**: 18.91 Å³ per atom
**Relative energy among the computed polymorphs**: 0.360 eV per formula unit
**E_tot**: -3.952 eV per atom
**Mass density**: 8189 kg/m3

a = 6.713 Å, b = 6.713 Å, c = 6.713 Å
α = 90.00°, β = 90.00°, γ = 90.00°
Space group F-43m (No. 216)
Asymmetric unit:
Lu: 0.000 0.000 0.000 (multiplicity 4)
Mg: 0.250 0.250 0.750 (multiplicity 4)
In: 0.250 0.250 0.250 (multiplicity 4)
Co: 0.000 0.000 0.500 (multiplicity 4)

***

This record from the Open Quantum Materials Database describes a relaxed DyEr2In3CuNi2 crystal. The functional is PBE.

Properties
**Calculated volume**: 20.14 Å³ per atom
**E_tot**: -4.570 eV per atom
**Mass density**: 9366 kg/m3

a = 3.807 Å, b = 12.841 Å, c = 7.417 Å
α = 90.00°, β = 90.00°, γ = 90.00°
Space group Amm2 (No. 38)
Asymmetric unit:
Dy: 0.000 0.000 0.000 (multiplicity 2)
Er: 0.000 0.206 0.619 (multiplicity 4)
In: 0.500 0.000 0.670 (multiplicity 2)
In: 0.500 0.129 0.284 (multiplicity 4)
Cu: 0.000 0.000 0.413 (multiplicity 2)
Ni: 0.500 0.167 0.913 (multiplicity 4)

***

This record from the Open Quantum Materials Database describes a relaxed HfRePd crystal. The functional is PBE.

Properties
**Calculated volume**: 19.93 Å³ per atom
**Relative energy among the computed polymorphs**: 0.557 eV per formula unit
**E_tot**: -8.474 eV per atom
**Mass density**: 13086 kg/m3

a = 6.207 Å, b = 6.207 Å, c = 6.207 Å
α = 90.00°, β = 90.00°, γ = 90.00°
Space group F-43m (No. 216)
Asymmetric unit:
Hf: 0.000 0.000 0.000 (multiplicity 4)
Re: 0.250 0.250 0.250 (multiplicity 4)
Pd: 0.250 0.250 0.750 (multiplicity 4)

***

This record from the Open Quantum Materials Database describes a relaxed Li2Y2NiSn2Pd crystal. The functional is PBE.

Properties
**Calculated volume**: 18.41 Å³ per atom
**E_tot**: -5.138 eV per atom
**Mass density**: 6700 kg/m3

a = 4.700 Å, b = 4.700 Å, c = 6.667 Å
α = 90.00°, β = 90.00°, γ = 90.00°
Space group P-4m2 (No. 115)
Asymmetric unit:
Li: 0.000 0.000 0.000 (multiplicity 1)
Li: 0.500 0.500 0.500 (multiplicity 1)
Y: 0.000 0.500 0.243 (multiplicity 2)
Ni: 0.500 0.500 0.000 (multiplicity 1)
Sn: 0.000 0.500 0.756 (multiplicity 2)
Pd: 0.000 0.000 0.500 (multiplicity 1)

***

This record from the Open Quantum Materials Database describes a relaxed HoCoPd crystal. The functional is PBE.

Properties
**Calculated volume**: 20.82 Å³ per atom
**E_tot**: -5.657 eV per atom
**Mass density**: 8782 kg/m3

a = 6.298 Å, b = 6.298 Å, c = 6.298 Å
α = 90.00°, β = 90.00°, γ = 90.00°
Space group F-43m (No. 216)
Asymmetric unit:
Ho: 0.000 0.000 0.000 (multiplicity 4)
Co: 0.000 0.000 0.500 (multiplicity 4)
Pd: 0.250 0.250 0.250 (multiplicity 4)

***

This record from the Open Quantum Materials Database describes a relaxed Tm2Lu5Ni2Te2 crystal. The functional is PBE.

Properties
**Calculated volume**: 24.89 Å³ per atom
**Relative energy among the computed polymorphs**: 0.013 eV per formula unit
**E_tot**: -5.128 eV per atom
**Mass density**: 9615 kg/m3

a = 3.804 Å, b = 15.271 Å, c = 9.425 Å
α = 90.00°, β = 90.00°, γ = 90.00°
Space group Imm2 (No. 44)
Asymmetric unit:
Tm: 0.000 0.135 0.000 (multiplicity 4)
Lu: 0.000 0.000 0.419 (multiplicity 2)
Lu: 0.000 0.315 0.795 (multiplicity 4)
Lu: 0.000 0.353 0.147 (multiplicity 4)
Ni: 0.000 0.236 0.487 (multiplicity 4)
Te: 0.000 0.000 0.756 (multiplicity 2)
Te: 0.000 0.500 0.652 (multiplicity 2)

***

This record from the Open Quantum Materials Database describes a relaxed AlZn2Cd crystal. The functional is PBE.

Properties
**Calculated volume**: 17.67 Å³ per atom
**E_tot**: -1.605 eV per atom
**Mass density**: 6348 kg/m3

a = 6.563 Å, b = 6.563 Å, c = 6.563 Å
α = 90.00°, β = 90.00°, γ = 90.00°
Space group F-43m (No. 216)
Asymmetric unit:
Al: 0.000 0.000 0.000 (multiplicity 4)
Zn: 0.000 0.000 0.500 (multiplicity 4)
Zn: 0.250 0.250 0.750 (multiplicity 4)
Cd: 0.250 0.250 0.250 (multiplicity 4)

***

This record from the Open Quantum Materials Database describes a relaxed PaTl2Mo2 crystal. The functional is PBE.

Properties
**Calculated volume**: 21.97 Å³ per atom
**E_tot**: -6.449 eV per atom
**Mass density**: 12570 kg/m3

a = 4.107 Å, b = 4.107 Å, c = 13.029 Å
α = 90.00°, β = 90.00°, γ = 90.00°
Space group I4/mmm (No. 139)
Asymmetric unit:
Pa: 0.000 0.000 0.000 (multiplicity 2)
Tl: 0.000 0.000 0.394 (multiplicity 4)
Mo: 0.000 0.500 0.250 (multiplicity 4)

***

This record from the Open Quantum Materials Database describes a relaxed RbCuTePbS2 crystal. The functional is PBE.

Properties
**Calculated volume**: 30.83 Å³ per atom
**E_tot**: -3.699 eV per atom
**Mass density**: 4919 kg/m3

a = 3.940 Å, b = 16.184 Å, c = 11.603 Å
α = 90.00°, β = 90.00°, γ = 90.00°
Space group Cmcm (No. 63)
Asymmetric unit:
Rb: 0.000 0.232 0.250 (multiplicity 4)
Cu: 0.000 0.457 0.750 (multiplicity 4)
Te: 0.000 0.070 0.750 (multiplicity 4)
Pb: 0.000 0.000 0.000 (multiplicity 4)
S: 0.000 0.390 0.580 (multiplicity 8)

***

This record from the Open Quantum Materials Database describes a relaxed Na2OsBr6 crystal. The functional is PBE.

Properties
**Calculated volume**: 28.95 Å³ per atom
**Relative energy among the computed polymorphs**: 0.000 eV per formula unit
**E_tot**: -3.364 eV per atom
**Mass density**: 4561 kg/m3

a = 7.164 Å, b = 7.164 Å, c = 10.152 Å
α = 90.00°, β = 90.00°, γ = 90.00°
Space group I4/m (No. 87)
Asymmetric unit:
Na: 0.000 0.500 0.250 (multiplicity 4)
Os: 0.000 0.000 0.000 (multiplicity 2)
Br: 0.000 0.000 0.246 (multiplicity 4)
Br: 0.169 0.306 0.000 (multiplicity 8)

***

This record from the Open Quantum Materials Database describes a relaxed ErTm3Pb2N2 crystal. The functional is PBE.

Properties
**Calculated volume**: 20.35 Å³ per atom
**E_tot**: -6.373 eV per atom
**Mass density**: 11388 kg/m3

a = 3.4991 Å, b = 3.4991 Å, c = 15.3536 Å
α = 90.00°, β = 90.00°, γ = 120.00°
Space group P3m1 (No. 156)
Asymmetric unit:
Er: 0.0000 0.0000 0.0000 (multiplicity 1)
Tm: 0.0000 0.0000 0.3338 (multiplicity 1)
Tm: 0.3333 0.6667 0.4996 (multiplicity 1)
Tm: 0.3333 0.6667 0.8335 (multiplicity 1)
Pb: 0.0000 0.0000 0.6664 (multiplicity 1)
Pb: 0.3333 0.6667 0.1673 (multiplicity 1)
N: 0.6667 0.3333 0.4167 (multiplicity 1)
N: 0.6667 0.3333 0.9154 (multiplicity 1)

***

This record from the Open Quantum Materials Database describes a relaxed KTcIr crystal. The functional is PBE.

Properties
**Calculated volume**: 23.05 Å³ per atom
**Relative energy among the computed polymorphs**: 3.496 eV per formula unit
**E_tot**: -4.139 eV per atom
**Mass density**: 7909 kg/m3

a = 6.515 Å, b = 6.515 Å, c = 6.515 Å
α = 90.00°, β = 90.00°, γ = 90.00°
Space group F-43m (No. 216)
Asymmetric unit:
K: 0.000 0.000 0.000 (multiplicity 4)
Tc: 0.250 0.250 0.250 (multiplicity 4)
Ir: 0.250 0.250 0.750 (multiplicity 4)

***

This record from the Open Quantum Materials Database describes a relaxed SmPt3C crystal. The functional is PBE.

Properties
**Calculated volume**: 16.19 Å³ per atom
**Relative energy among the computed polymorphs**: 0.000 eV per formula unit
**E_tot**: -6.792 eV per atom
**Mass density**: 15339 kg/m3

a = 3.961 Å, b = 3.961 Å, c = 5.159 Å
α = 90.00°, β = 90.00°, γ = 90.00°
Space group P4mm (No. 99)
Asymmetric unit:
Sm: 0.000 0.000 0.000 (multiplicity 1)
Pt: 0.000 0.500 0.534 (multiplicity 2)
Pt: 0.500 0.500 0.134 (multiplicity 1)
C: 0.500 0.500 0.736 (multiplicity 1)

***

This record from the Open Quantum Materials Database describes a relaxed Rb2CdPdCl6 crystal. The functional is PBE.

Properties
**Calculated volume**: 26.83 Å³ per atom
**E_tot**: -3.118 eV per atom
**Mass density**: 3729 kg/m3

a = 10.238 Å, b = 10.238 Å, c = 10.238 Å
α = 90.00°, β = 90.00°, γ = 90.00°
Space group Fm-3m (No. 225)
Asymmetric unit:
Rb: 0.250 0.250 0.250 (multiplicity 8)
Cd: 0.000 0.000 0.000 (multiplicity 4)
Pd: 0.000 0.000 0.500 (multiplicity 4)
Cl: 0.000 0.000 0.257 (multiplicity 24)

***

This record from the Open Quantum Materials Database describes a relaxed MgCdTc2As4 crystal. The functional is PBE.

Properties
**Calculated volume**: 25.01 Å³ per atom
**E_tot**: -5.099 eV per atom
**Mass density**: 5248 kg/m3

a = 5.961 Å, b = 5.961 Å, c = 11.263 Å
α = 90.00°, β = 90.00°, γ = 90.00°
Space group I-4 (No. 82)
Asymmetric unit:
Mg: 0.000 0.000 0.000 (multiplicity 2)
Cd: 0.000 0.500 0.250 (multiplicity 2)
Tc: 0.000 0.000 0.500 (multiplicity 2)
Tc: 0.000 0.500 0.750 (multiplicity 2)
As: 0.202 0.254 0.623 (multiplicity 8)

***

This record from the Open Quantum Materials Database describes a relaxed GaCuReHg crystal. The functional is PBE.

Properties
**Calculated volume**: 15.97 Å³ per atom
**Relative energy among the computed polymorphs**: 0.000 eV per formula unit
**E_tot**: -4.226 eV per atom
**Mass density**: 13516 kg/m3

a = 6.346 Å, b = 6.346 Å, c = 6.346 Å
α = 90.00°, β = 90.00°, γ = 90.00°
Space group F-43m (No. 216)
Asymmetric unit:
Ga: 0.000 0.000 0.000 (multiplicity 4)
Cu: 0.250 0.250 0.250 (multiplicity 4)
Re: 0.250 0.250 0.750 (multiplicity 4)
Hg: 0.000 0.000 0.500 (multiplicity 4)

***

This record from the Open Quantum Materials Database describes a relaxed TaTe2 crystal. The functional is PBE.

Properties
**Calculated volume**: 25.15 Å³ per atom
**E_tot**: -4.553 eV per atom
**Mass density**: 9599 kg/m3

a = 8.451 Å, b = 8.451 Å, c = 8.451 Å
α = 90.00°, β = 90.00°, γ = 90.00°
Space group Fd-3m (No. 227, origin choice 2)
Asymmetric unit:
Ta: 0.125 0.125 0.125 (multiplicity 8)
Te: 0.000 0.000 0.500 (multiplicity 16)

***

This record from the Open Quantum Materials Database describes a relaxed ZrPbO4 crystal. The functional is PBE.

Properties
**Calculated volume**: 14.12 Å³ per atom
**Relative energy among the computed polymorphs**: 0.425 eV per formula unit
**E_tot**: -7.307 eV per atom
**Mass density**: 7103 kg/m3

a = 16.011 Å, b = 3.347 Å, c = 6.905 Å
α = 90.00°, β = 113.67°, γ = 90.00°
Space group C2/m (No. 12)
Asymmetric unit:
Zr: 0.150 0.000 0.380 (multiplicity 4)
Pb: 0.089 0.500 0.823 (multiplicity 4)
O: 0.055 0.500 0.294 (multiplicity 4)
O: 0.107 0.000 0.640 (multiplicity 4)
O: 0.115 0.000 0.036 (multiplicity 4)
O: 0.224 0.500 0.349 (multiplicity 4)

***

This record from the Open Quantum Materials Database describes a relaxed Fe3C crystal. The functional is PBE.

Properties
**Calculated volume**: 9.51 Å³ per atom
**E_tot**: -8.386 eV per atom
**Mass density**: 7834 kg/m3

a = 8.179 Å, b = 2.659 Å, c = 14.379 Å
α = 90.00°, β = 103.18°, γ = 90.00°
Space group C2/m (No. 12)
Asymmetric unit:
Fe: 0.031 0.000 0.379 (multiplicity 4)
Fe: 0.051 0.000 0.792 (multiplicity 4)
Fe: 0.122 0.000 0.967 (multiplicity 4)
Fe: 0.138 0.500 0.124 (multiplicity 4)
Fe: 0.152 0.500 0.534 (multiplicity 4)
Fe: 0.246 0.500 0.714 (multiplicity 4)
C: 0.179 0.500 0.875 (multiplicity 4)
C: 0.215 0.500 0.384 (multiplicity 4)

***

This record from the Open Quantum Materials Database describes a relaxed FeCuPbSe3 crystal. The functional is PBE.

Properties
**Calculated volume**: 19.86 Å³ per atom
**Relative energy among the computed polymorphs**: 0.205 eV per formula unit
**E_tot**: -4.516 eV per atom
**Mass density**: 7851 kg/m3

a = 3.670 Å, b = 13.669 Å, c = 9.502 Å
α = 90.00°, β = 90.00°, γ = 90.00°
Space group Cmcm (No. 63)
Asymmetric unit:
Fe: 0.000 0.000 0.000 (multiplicity 4)
Cu: 0.000 0.457 0.250 (multiplicity 4)
Pb: 0.000 0.238 0.750 (multiplicity 4)
Se: 0.000 0.069 0.250 (multiplicity 4)
Se: 0.000 0.379 0.026 (multiplicity 8)

***

This record from the Open Quantum Materials Database describes a relaxed SmOsPb crystal. The functional is PBE.

Properties
**Calculated volume**: 26.16 Å³ per atom
**E_tot**: -5.864 eV per atom
**Mass density**: 11591 kg/m3

a = 6.796 Å, b = 6.796 Å, c = 6.796 Å
α = 90.00°, β = 90.00°, γ = 90.00°
Space group F-43m (No. 216)
Asymmetric unit:
Sm: 0.000 0.000 0.000 (multiplicity 4)
Os: 0.000 0.000 0.500 (multiplicity 4)
Pb: 0.250 0.250 0.750 (multiplicity 4)

***

This record from the Open Quantum Materials Database describes a relaxed NbGePO crystal. The functional is PBE.

Properties
**Calculated volume**: 17.42 Å³ per atom
**Relative energy among the computed polymorphs**: 0.282 eV per formula unit
**E_tot**: -7.101 eV per atom
**Mass density**: 5065 kg/m3

a = 3.898 Å, b = 7.168 Å, c = 4.987 Å
α = 90.00°, β = 90.00°, γ = 90.00°
Space group Pmc2_1 (No. 26)
Asymmetric unit:
Nb: 0.000 0.130 0.000 (multiplicity 2)
Ge: 0.500 0.435 0.517 (multiplicity 2)
P: 0.000 0.223 0.500 (multiplicity 2)
O: 0.500 0.145 0.001 (multiplicity 2)

***

This record from the Open Quantum Materials Database describes a relaxed Nb4Pb3W2C3 crystal. The functional is PBE.

Properties
**Calculated volume**: 16.44 Å³ per atom
**E_tot**: -8.777 eV per atom
**Mass density**: 11761 kg/m3

a = 9.884 Å, b = 5.705 Å, c = 14.368 Å
α = 90.00°, β = 103.12°, γ = 90.00°
Space group C2/c (No. 15)
Asymmetric unit:
Nb: 0.110 0.078 0.081 (multiplicity 8)
Nb: 0.221 0.087 0.419 (multiplicity 8)
Pb: 0.000 0.090 0.750 (multiplicity 4)
Pb: 0.163 0.422 0.250 (multiplicity 8)
W: 0.062 0.414 0.927 (multiplicity 8)
C: 0.081 0.257 0.500 (multiplicity 8)
C: 0.250 0.250 0.000 (multiplicity 4)

***

This record from the Open Quantum Materials Database describes a relaxed Tb5In4Pd2 crystal. The functional is PBE.

Properties
**Calculated volume**: 24.70 Å³ per atom
**E_tot**: -4.734 eV per atom
**Mass density**: 8964 kg/m3

a = 8.080 Å, b = 18.327 Å, c = 3.670 Å
α = 90.00°, β = 90.00°, γ = 90.00°
Space group Pbam (No. 55)
Asymmetric unit:
Tb: 0.000 0.000 0.000 (multiplicity 2)
Tb: 0.117 0.417 0.000 (multiplicity 4)
Tb: 0.242 0.220 0.000 (multiplicity 4)
In: 0.077 0.850 0.500 (multiplicity 4)
In: 0.210 0.569 0.500 (multiplicity 4)
Pd: 0.026 0.304 0.500 (multiplicity 4)